First-principles (PBE) data for an optimized crystal structure of KYGe2, as listed in Alexandria via LeMat-Bulk.

Unit cell a=5.2360 b=5.2360 c=5.2360 alpha=60.00 beta=60.00 gamma=60.00
With the nearest neighbours (Å) after each atom.
Sites, in units of the cell vectors:
1 K 0.0000 0.0000 0.0000  8 Ge 3.21
2 Y 0.5000 0.5000 0.5000  8 Ge 3.21
3 Ge 0.2500 0.2500 0.2500  4 Y 3.21, 4 K 3.21
4 Ge 0.7500 0.7500 0.7500  4 Y 3.21, 4 K 3.21

Computed properties:
Crystal system: cubic
Calculated formation energy, meV/atom: -72